## Pr6Pd5Au (GGA-PBE)

Data for a relaxed structure of Pr6Pd5Au.

* polymorph energy (0 for the lowest one): 0 meV per atom

POSCAR file:
```
Pr6Pd5Au
1.0
8.178 -3.673 0.000
8.178 3.673 0.000
-1.615 0.000 4.930
Pr Pd Au
6 5 1
Cartesian
4.884 1.852 1.634
8.178 1.867 0.000
9.856 1.852 3.296
4.884 -1.852 1.634
8.178 -1.867 0.000
9.856 -1.852 3.296
-0.808 0.000 2.465
2.452 0.000 0.816
4.129 0.000 4.121
10.611 0.000 0.808
12.289 0.000 4.113
7.370 0.000 2.465
```

=====

## La4Y4Er5 (GGA-PBE)

Data for a relaxed structure of La4Y4Er5.

POSCAR file:
```
La4Y4Er5
1.0
-6.491 6.491 2.552
6.491 -6.491 2.552
6.491 6.491 -2.552
La Y Er
4 4 5
Cartesian
4.974 1.013 0.000
5.478 -1.517 2.552
1.013 8.008 0.000
1.517 5.478 2.552
10.022 1.976 0.000
1.976 2.959 0.000
4.515 3.531 2.552
-3.531 4.515 2.552
0.000 0.000 0.000
7.000 4.064 0.000
4.064 5.981 0.000
2.426 0.509 2.552
-0.509 2.426 2.552
```

=====

## Rb2BeAsBr (GGA-PBE)

Data for a relaxed structure of Rb2BeAsBr.

* formation energy without anion corrections: 0.339 eV/atom

POSCAR file:
```
Rb2BeAsBr
1.0
6.449 0.000 0.000
0.000 6.449 0.000
0.000 0.000 5.379
Rb Be As Br
2 1 1 1
Cartesian
0.000 3.224 0.000
3.224 0.000 0.000
0.000 0.000 2.689
3.224 3.224 2.689
3.224 3.224 0.000
```

=====

## PrSmH2 (GGA-PBE)

Data for a relaxed structure of PrSmH2.

* polymorph energy (0 for the lowest one): 100 meV per atom

POSCAR file:
```
PrSmH2
1.0
1.813 1.047 6.117
-1.813 1.047 6.117
0.000 -2.093 6.117
Pr Sm H
1 1 2
Cartesian
0.000 0.000 0.000
0.000 0.000 15.082
0.000 0.000 4.181
0.000 0.000 7.624
```

=====

## TiZnF3 (GGA-PBE)

Data for a relaxed structure of TiZnF3.

* polymorph energy (0 for the lowest one): 0 meV per atom
* formation energy without anion corrections: -2.225 eV/atom

POSCAR file:
```
TiZnF3
1.0
4.118 0.000 0.000
0.000 4.118 0.000
0.000 0.000 4.118
Ti Zn F
1 1 3
Cartesian
0.000 0.000 0.000
2.059 2.059 2.059
0.000 0.000 2.059
0.000 2.059 0.000
2.059 0.000 0.000
```

=====

## SrTl2GaF6 (GGA-PBE)

Data for a relaxed structure of SrTl2GaF6.

* formation energy without anion corrections: -2.458 eV/atom

POSCAR file:
```
SrTl2GaF6
1.0
6.313 0.000 0.000
0.000 8.946 0.000
0.000 0.000 6.321
Sr Tl Ga F
2 4 2 12
Cartesian
1.578 2.236 1.576
4.735 6.709 4.745
1.578 0.000 4.741
1.578 4.473 4.741
4.735 8.946 1.580
4.735 4.473 1.580
1.578 6.709 1.585
4.735 2.236 4.736
0.158 6.709 0.165
0.158 6.709 3.004
1.578 4.702 1.585
1.578 8.717 1.585
2.998 6.709 0.165
2.999 6.709 3.004
3.315 2.236 3.317
3.315 2.236 6.156
4.735 0.229 4.736
4.735 4.244 4.736
6.155 2.236 3.317
6.155 2.236 6.156
```

=====

Per-record DFT total energy, eV/atom: -5.537; -5.228; -2.058; -4.345; -5.181; -4.525
Per-record N(E_F), states/eV per cell: 11.01; 21.63; 3.76; 1.95; 6.07; 4.92